PmTm5In: relaxed, GGA-PBE.

The density of states at the Fermi level comes out at 15.1 states/eV per cell. The calculation puts the total magnetization at 0.0 μB/f.u. The calculation puts the formation energy from the elements at 0.71 eV per atom.

The space group is Imm2 (No. 44) and the conventional cell measures 7.8844, 11.3742 and 6.1731 Å, with angles of 90.00, 90.00 and 90.00 degrees. The asymmetric unit holds Pm at (0.0000, 0.0000, 0.0000), Tm at (0.0000, 0.2529, 0.4029), Tm at (0.0000, 0.5000, 0.7110), Tm at (0.1861, 0.0000, 0.5019) and In at (0.0000, 0.5000, 0.2386).

Pm2Tm2In3: relaxed, GGA-PBE.

The density of states at the Fermi level comes out at 13.5 states/eV per cell. The calculation puts the total magnetization at 0.0 μB/f.u. The value obtained for the energy above the most stable polymorph in this dataset is 0.0000 eV per atom. The calculation puts the formation energy from the elements at -0.30 eV per atom.

The space group is Cmmm (No. 65) and the conventional cell measures 4.5962, 24.8117 and 3.4490 Å, with angles of 90.00, 90.00 and 90.00 degrees. The asymmetric unit holds Pm at (0.0000, 0.0718, 0.0000), Tm at (0.0000, 0.2034, 0.0000), In at (0.0000, 0.3507, 0.5000) and In at (0.0000, 0.5000, 0.5000).

PmYTmIn: relaxed, GGA-PBE.

The density of states at the Fermi level comes out at 5.6 states/eV per cell. The calculation puts the total magnetization at 0.4 μB/f.u. The value obtained for the energy above the most stable polymorph in this dataset is 0.0000 eV per atom. The calculation puts the formation energy from the elements at -0.27 eV per atom.

The space group is Pmmm (No. 47) and the conventional cell measures 4.8410, 4.8697 and 4.9032 Å, with angles of 90.00, 90.00 and 90.00 degrees. The asymmetric unit holds Pm at (0.0000, 0.0000, 0.0000), Y at (0.5000, 0.0000, 0.5000), Tm at (0.5000, 0.5000, 0.0000) and In at (0.0000, 0.5000, 0.5000).

Q: total magnetization of number 1 (PmTm5In)?
A: 0.0 μB/f.u.